[1]
VASP calculation (PBE) on a relaxed structure of NaPO4.

The calculation puts the formation energy without anion corrections at -1.82 eV per atom. As for the crystal system: monoclinic. The calculation puts the total magnetization at 7.5 μB/cell. Its total energy is -6.245 eV/atom.

The structure belongs to space group P2_1/c (No. 14); the cell edges are 6.5156, 13.5255 and 9.6873 Å and the angles 90.00°, 95.85° and 90.00°. Symmetry generates all atoms from Na at (0.9996, 0.1227, 0.0022), Na at (0.4986, 0.1326, 0.5037), P at (0.0010, 0.6662, 0.0000), P at (0.0959, 0.0008, 0.3168), O at (0.0372, 0.5943, 0.1352), O at (0.0389, 0.0903, 0.6303), O at (0.0641, 0.5011, 0.6612), O at (0.1947, 0.2246, 0.4975), O at (0.1976, 0.7233, 0.9943), O at (0.3092, 0.0013, 0.3914), O at (0.4348, 0.0871, 0.8951) and O at (0.4756, 0.1497, 0.8099).

[2]
VASP calculation (PBE) on a relaxed structure of Sr2Mg2Au.

The calculation puts the energy of formation at -18.0 kJ per mole of atoms. As for the crystal system: tetragonal. The calculation puts the total magnetization at 0.0 μB/cell. Its total energy is -2.153 eV/atom.

The structure belongs to space group P4/mbm (No. 127); the cell edges are 7.5118, 7.5118 and 5.5167 Å and the angles 90.00°, 90.00° and 90.00°. Symmetry generates all atoms from Sr at (0.1782, 0.3218, 0.0000), Mg at (0.1422, 0.6422, 0.5000) and Au at (0.0000, 0.0000, 0.5000).

[3]
VASP calculation (PBE) on a relaxed structure of GaSe2BrN.

The calculation puts the formation energy without anion corrections at 0.60 eV per atom. As for the crystal system: tetragonal. The calculation puts the total magnetization at 0.0 μB/cell. Its total energy is -3.398 eV/atom.

The structure belongs to space group P4/mmm (No. 123); the cell edges are 4.1701, 4.1701 and 7.5677 Å and the angles 90.00°, 90.00° and 90.00°. Symmetry generates all atoms from Ga at (0.0000, 0.0000, 0.0000), Se at (0.0000, 0.5000, 0.5000), Br at (0.5000, 0.5000, 0.0000) and N at (0.5000, 0.5000, 0.5000).

[4]
VASP calculation (PBE) on a relaxed structure of AcPr2TmSb4.

The calculation puts the formation energy without anion corrections at -1.13 eV per atom. As for the crystal system: monoclinic. The calculation puts the total magnetization at 0.0 μB/cell. Its total energy is -5.458 eV/atom.

The structure belongs to space group P2/m (No. 10); the cell edges are 7.9079, 4.5753 and 7.9210 Å and the angles 90.00°, 109.42° and 90.00°. Symmetry generates all atoms from Ac at (0.0000, 0.0000, 0.0000), Pr at (0.0000, 0.5000, 0.5000), Pr at (0.5000, 0.0000, 0.5000), Tm at (0.5000, 0.5000, 0.0000), Sb at (0.2634, 0.5000, 0.2535) and Sb at (0.2636, 0.0000, 0.7555).

[5]
VASP calculation (PBE) on a relaxed structure of Al2CuSi.

The calculation puts the formation energy without anion corrections at 0.01 eV per atom. As for the crystal system: orthorhombic. The calculation puts the total magnetization at 0.0 μB/cell. Its total energy is -4.239 eV/atom.

The structure belongs to space group Pnma (No. 62); the cell edges are 5.8523, 7.5418 and 5.5776 Å and the angles 90.00°, 90.00° and 90.00°. Symmetry generates all atoms from Al at (0.1435, 0.0564, 0.1995), Cu at (0.1626, 0.7500, 0.0228) and Si at (0.0740, 0.7500, 0.4451).

[6]
VASP calculation (PBE) on a relaxed structure of Tb5Nd4Cd2.

The calculation puts the energy of formation at 0.5 kJ per mole of atoms. As for the crystal system: monoclinic. The calculation puts the total magnetization at 0.0 μB/cell. Its total energy is -3.999 eV/atom.

The structure belongs to space group P2/m (No. 10); the cell edges are 8.6895, 3.5168 and 11.3993 Å and the angles 90.00°, 93.96° and 90.00°. Symmetry generates all atoms from Tb at (0.0000, 0.0000, 0.0000), Tb at (0.0701, 0.0000, 0.2932), Tb at (0.2953, 0.0000, 0.8318), Nd at (0.2219, 0.5000, 0.5475), Nd at (0.3548, 0.5000, 0.1189) and Cd at (0.4465, 0.0000, 0.3685).

[7]
VASP calculation (PBE) on a relaxed structure of PmPrPd.

The calculation puts the energy of formation at -35.0 kJ per mole of atoms. As for the crystal system: cubic. The calculation puts the total magnetization at 0.0 μB/cell. Its total energy is -5.270 eV/atom.

The structure belongs to space group F-43m (No. 216); the cell edges are 7.1399, 7.1399 and 7.1399 Å and the angles 90.00°, 90.00° and 90.00°. Symmetry generates all atoms from Pm at (0.0000, 0.0000, 0.0000), Pr at (0.0000, 0.0000, 0.5000) and Pd at (0.2500, 0.2500, 0.2500).

[8]
VASP calculation (PBE) on a relaxed structure of CaLu3Co.

The calculation puts the energy of formation at -8.1 kJ per mole of atoms. As for the crystal system: cubic. The calculation puts the total magnetization at 0.0 μB/cell. Its total energy is -4.618 eV/atom.

The structure belongs to space group Pm-3m (No. 221); the cell edges are 5.2111, 5.2111 and 5.2111 Å and the angles 90.00°, 90.00° and 90.00°. Symmetry generates all atoms from Ca at (0.0000, 0.0000, 0.0000), Lu at (0.0000, 0.5000, 0.5000) and Co at (0.5000, 0.5000, 0.5000).

[9]
VASP calculation (PBE) on a relaxed structure of ZnIn2Sn.

The calculation puts the energy of formation at 8.5 kJ per mole of atoms. As for the crystal system: trigonal. The calculation puts the total magnetization at 0.0 μB/cell. Its total energy is -2.600 eV/atom.

The structure belongs to space group R3m (No. 160, hexagonal axes); the cell edges are 3.5171, 3.5171 and 27.8923 Å and the angles 90.00°, 90.00° and 120.00°. Symmetry generates all atoms from Zn at (0.0000, 0.0000, 0.0000), In at (0.0000, 0.0000, 0.4076), In at (0.0000, 0.0000, 0.5919) and Sn at (0.0000, 0.0000, 0.1671).

[10]
VASP calculation (PBE) on a relaxed structure of BaCdSi2.

The calculation puts the formation energy without anion corrections at -0.01 eV per atom. As for the crystal system: trigonal. The calculation puts the total magnetization at 0.0 μB/cell. Its total energy is -3.430 eV/atom.

The structure belongs to space group R-3m (No. 166, hexagonal axes); the cell edges are 4.5298, 4.5298 and 17.6822 Å and the angles 90.00°, 90.00° and 120.00°. Symmetry generates all atoms from Ba at (0.0000, 0.0000, 0.0000), Cd at (0.0000, 0.0000, 0.5000) and Si at (0.0000, 0.0000, 0.2086).

[11]
VASP calculation (PBE) on a relaxed structure of K3SnCl.

The calculation puts the formation energy without anion corrections at -0.68 eV per atom. As for the crystal system: cubic. The calculation puts the total magnetization at 2.0 μB/cell. Its total energy is -2.507 eV/atom.

The structure belongs to space group Pm-3m (No. 221); the cell edges are 5.9940, 5.9940 and 5.9940 Å and the angles 90.00°, 90.00° and 90.00°. Symmetry generates all atoms from K at (0.0000, 0.0000, 0.5000), Sn at (0.5000, 0.5000, 0.5000) and Cl at (0.0000, 0.0000, 0.0000).

[12]
VASP calculation (PBE) on a relaxed structure of ErLu2Ga.

The calculation puts the energy of formation at -23.1 kJ per mole of atoms. As for the crystal system: tetragonal. The calculation puts the total magnetization at 0.0 μB/cell. Its total energy is -4.398 eV/atom.

The structure belongs to space group P4/mmm (No. 123); the cell edges are 4.6357, 4.6357 and 4.6500 Å and the angles 90.00°, 90.00° and 90.00°. Symmetry generates all atoms from Er at (0.0000, 0.0000, 0.0000), Lu at (0.0000, 0.5000, 0.5000) and Ga at (0.5000, 0.5000, 0.0000).